A plane-wave DFT calculation with PBE was carried out for Na2MnMo after structural relaxation.

Summary:
- energy of formation from the pure elements (kJ/mol of formula units) = 541
- space group = I-42d
- relative energy among the computed polymorphs (eV per atom) = 0.0000
- uncorrected energy (eV per cell) = -34.06

Cell: 6.290 6.290 6.290 Å, 98.96 98.96 133.53°
Fractional positions:
1 Na 0.104 0.625 0.979
2 Na 0.375 0.354 0.479
3 Na 0.646 0.125 0.021
4 Na 0.875 0.896 0.521
5 Mn 0.000 0.000 0.000
6 Mn 0.750 0.250 0.500
7 Mo 0.250 0.750 0.500
8 Mo 0.500 0.500 0.000